(1)
This record from the Alexandria database describes a geometry-optimized AlCu2Au5 structure. The functional is PBE-GGA.

```
data_AlCu2Au5
_chemical_formula_sum 'Al4 Cu8 Au20'
_cell_length_a 4.1759
_cell_length_b 15.8243
_cell_length_c 10.9268
_cell_angle_alpha 90.00
_cell_angle_beta 90.00
_cell_angle_gamma 90.00
_symmetry_space_group_name_H-M 'C m c m'
_symmetry_Int_Tables_number 63
_symmetry_space_group_name_Hall '-C 2c 2'
loop_
_atom_site_label
_atom_site_fract_x
_atom_site_fract_y
_atom_site_fract_z
Al1 0.0000 0.1594 0.2500
Cu1 0.0000 0.1290 0.5572
Au1 0.0000 0.0255 0.1234
Au2 0.0000 0.2312 0.7500
Au3 0.0000 0.2687 0.0786
```

Results
volume	22.56	Å³ per atom
magnetization	0.000	μB/f.u.

(2)
This record from the Alexandria database describes a geometry-optimized AlCu2Au5 structure. The functional is PBE-GGA.

```
data_AlCu2Au5
_chemical_formula_sum 'Al2 Cu4 Au10'
_cell_length_a 5.5713
_cell_length_b 11.0851
_cell_length_c 4.1983
_cell_angle_alpha 90.00
_cell_angle_beta 90.00
_cell_angle_gamma 90.00
_symmetry_space_group_name_H-M 'P b a m'
_symmetry_Int_Tables_number 55
_symmetry_space_group_name_Hall '-P 2 2ab'
loop_
_atom_site_label
_atom_site_fract_x
_atom_site_fract_y
_atom_site_fract_z
Al1 0.0000 0.0000 0.0000
Cu1 0.1906 0.3655 0.5000
Au1 0.0000 0.5000 0.0000
Au2 0.0663 0.7650 0.0000
Au3 0.2002 0.1090 0.5000
```

Results
volume	16.21	Å³ per atom
magnetization	0.000	μB/f.u.

It is (2) that is most stable; the runner-up trails by 301 meV/atom.

(1)
This record from the Alexandria database describes a geometry-optimized Al2CuAu3 structure. The functional is PBE-GGA.

```
data_Al2CuAu3
_chemical_formula_sum 'Al8 Cu4 Au12'
_cell_length_a 4.3959
_cell_length_b 6.6323
_cell_length_c 13.1766
_cell_angle_alpha 90.00
_cell_angle_beta 90.00
_cell_angle_gamma 90.00
_symmetry_space_group_name_H-M 'I m m a'
_symmetry_Int_Tables_number 74
_symmetry_space_group_name_Hall '-I 2b 2'
loop_
_atom_site_label
_atom_site_fract_x
_atom_site_fract_y
_atom_site_fract_z
Al1 0.0000 0.2500 0.0111
Al2 0.0000 0.2500 0.6639
Cu1 0.0000 0.2500 0.3290
Au1 0.0000 0.0000 0.5000
Au2 0.0000 0.0118 0.8344
```

Results
volume	16.01	Å³ per atom
magnetization	0.000	μB/f.u.

(2)
This record from the Alexandria database describes a geometry-optimized Al2CuAu3 structure. The functional is PBE-GGA.

```
data_Al2CuAu3
_chemical_formula_sum 'Al8 Cu4 Au12'
_cell_length_a 12.0404
_cell_length_b 4.8679
_cell_length_c 7.3589
_cell_angle_alpha 90.00
_cell_angle_beta 113.80
_cell_angle_gamma 90.00
_symmetry_space_group_name_H-M 'C 1 2/m 1'
_symmetry_Int_Tables_number 12
_symmetry_space_group_name_Hall '-C 2y'
loop_
_atom_site_label
_atom_site_fract_x
_atom_site_fract_y
_atom_site_fract_z
Al1 0.0339 0.0000 0.2140
Al2 0.1918 0.5000 0.5307
Cu1 0.1209 0.5000 0.1189
Au1 0.0387 0.5000 0.7214
Au2 0.1423 0.0000 0.6131
Au3 0.1942 0.0000 0.0581
```

Results
volume	16.44	Å³ per atom
magnetization	0.000	μB/f.u.

It is (2) that is most stable; the runner-up trails by 15 meV/atom.

(1)
This record from the Alexandria database describes a geometry-optimized AlCu4Au structure. The functional is PBE-GGA.

```
data_AlCu4Au
_chemical_formula_sum 'Al1 Cu4 Au1'
_cell_length_a 3.8179
_cell_length_b 4.6311
_cell_length_c 5.2772
_cell_angle_alpha 106.96
_cell_angle_beta 90.06
_cell_angle_gamma 114.17
_symmetry_space_group_name_H-M 'P -1'
_symmetry_Int_Tables_number 2
_symmetry_space_group_name_Hall '-P 1'
loop_
_atom_site_label
_atom_site_fract_x
_atom_site_fract_y
_atom_site_fract_z
Al1 0.0000 0.0000 0.0000
Cu1 0.3249 0.6496 0.1590
Cu2 0.3376 0.6741 0.6780
Au1 0.0000 0.0000 0.5000
```

Results
volume	13.44	Å³ per atom
magnetization	0.000	μB/f.u.

(2)
This record from the Alexandria database describes a geometry-optimized AlCu4Au structure. The functional is PBE-GGA.

```
data_AlCu4Au
_chemical_formula_sum 'Al1 Cu4 Au1'
_cell_length_a 4.5648
_cell_length_b 4.6511
_cell_length_c 4.6548
_cell_angle_alpha 100.53
_cell_angle_beta 118.56
_cell_angle_gamma 100.97
_symmetry_space_group_name_H-M 'P -1'
_symmetry_Int_Tables_number 2
_symmetry_space_group_name_Hall '-P 1'
loop_
_atom_site_label
_atom_site_fract_x
_atom_site_fract_y
_atom_site_fract_z
Al1 0.0000 0.0000 0.0000
Cu1 0.1672 0.4992 0.8383
Cu2 0.3261 0.9983 0.6742
Au1 0.5000 0.5000 0.5000
```

Results
volume	13.47	Å³ per atom
magnetization	0.000	μB/f.u.

(3)
This record from the Alexandria database describes a geometry-optimized AlCu4Au structure. The functional is PBE-GGA.

```
data_AlCu4Au
_chemical_formula_sum 'Al4 Cu16 Au4'
_cell_length_a 6.8946
_cell_length_b 6.8946
_cell_length_c 6.8946
_cell_angle_alpha 90.00
_cell_angle_beta 90.00
_cell_angle_gamma 90.00
_symmetry_space_group_name_H-M 'F -4 3 m'
_symmetry_Int_Tables_number 216
_symmetry_space_group_name_Hall 'F -4 2 3'
loop_
_atom_site_label
_atom_site_fract_x
_atom_site_fract_y
_atom_site_fract_z
Al1 0.0000 0.0000 0.0000
Cu1 0.1254 0.1254 0.3746
Au1 0.2500 0.2500 0.7500
```

Results
volume	13.66	Å³ per atom
magnetization	0.000	μB/f.u.

It is (1) that is most stable; the runner-up trails by 10 meV/atom.